1.
Here is an optimized crystal structure of PmHo2Er7 from Alexandria via LeMat-Bulk. Energies are from PBE.

```
data_PmHo2Er7
_cell_length_a 6.0994
_cell_length_b 7.0442
_cell_length_c 7.8628
_cell_angle_alpha 102.86
_cell_angle_beta 97.41
_cell_angle_gamma 106.68
_symmetry_space_group_name_H-M 'P 1'
_symmetry_Int_Tables_number 1
loop_
_symmetry_equiv_pos_as_xyz
'x,y,z'
loop_
_atom_site_label
_atom_site_fract_x
_atom_site_fract_y
_atom_site_fract_z
Pm1 0.0000 0.0000 0.0000
Ho1 0.3993 0.7988 0.7982
Ho2 0.6007 0.2012 0.2018
Er1 0.0000 0.5000 0.0000
Er2 0.2004 0.4005 0.4005
Er3 0.1997 0.8998 0.4007
Er4 0.4008 0.3005 0.7992
Er5 0.5992 0.6995 0.2008
Er6 0.8003 0.1002 0.5993
Er7 0.7996 0.5995 0.5995
```

Total energy   -45.638 eV for the cell shown
Space group   P-1 (2)
ΔE_f   21 meV/atom
Energy relative to the lowest polymorph listed for this composition   0.000 eV/atom
Crystal system   triclinic

2.
Here is an optimized crystal structure of Pm7Ho3Er2 from Alexandria via LeMat-Bulk. Energies are from PBE.

```
data_Pm7Ho3Er2
_cell_length_a 19.2509
_cell_length_b 19.2509
_cell_length_c 3.6174
_cell_angle_alpha 90.00
_cell_angle_beta 90.00
_cell_angle_gamma 162.76
_symmetry_space_group_name_H-M 'P 1'
_symmetry_Int_Tables_number 1
loop_
_symmetry_equiv_pos_as_xyz
'x,y,z'
loop_
_atom_site_label
_atom_site_fract_x
_atom_site_fract_y
_atom_site_fract_z
Pm1 0.0000 0.0000 0.0000
Pm2 0.0728 0.9272 0.5000
Pm3 0.2322 0.7678 0.0000
Pm4 0.4069 0.5931 0.0000
Pm5 0.5931 0.4069 0.0000
Pm6 0.7678 0.2322 0.0000
Pm7 0.9272 0.0728 0.5000
Ho1 0.3155 0.6845 0.5000
Ho2 0.5000 0.5000 0.5000
Ho3 0.6845 0.3155 0.5000
Er1 0.1489 0.8511 0.0000
Er2 0.8511 0.1489 0.0000
```

Total energy   -54.742 eV for the cell shown
Space group   Cmmm (65)
ΔE_f   114 meV/atom
Energy relative to the lowest polymorph listed for this composition   0.042 eV/atom
Crystal system   orthorhombic

3.
Here is an optimized crystal structure of Pm4Ho5Er from Alexandria via LeMat-Bulk. Energies are from PBE.

```
data_Pm4Ho5Er
_cell_length_a 8.0896
_cell_length_b 8.0896
_cell_length_c 8.0896
_cell_angle_alpha 97.70
_cell_angle_beta 97.70
_cell_angle_gamma 137.04
_symmetry_space_group_name_H-M 'P 1'
_symmetry_Int_Tables_number 1
loop_
_symmetry_equiv_pos_as_xyz
'x,y,z'
loop_
_atom_site_label
_atom_site_fract_x
_atom_site_fract_y
_atom_site_fract_z
Pm1 0.0000 0.3231 0.3231
Pm2 0.0000 0.6769 0.6769
Pm3 0.3231 0.0000 0.3231
Pm4 0.6769 0.0000 0.6769
Ho1 0.2401 0.2401 0.0000
Ho2 0.3139 0.3139 0.6225
Ho3 0.3139 0.6914 0.0000
Ho4 0.6914 0.3139 0.0000
Ho5 0.6914 0.6914 0.3775
Er1 0.7640 0.7640 0.0000
```

Total energy   -44.018 eV for the cell shown
Space group   I4mm (107)
ΔE_f   244 meV/atom
Energy relative to the lowest polymorph listed for this composition   0.054 eV/atom
Crystal system   tetragonal

4.
Here is an optimized crystal structure of Pm4Ho3Er2 from Alexandria via LeMat-Bulk. Energies are from PBE.

```
data_Pm4Ho3Er2
_cell_length_a 8.0027
_cell_length_b 8.0027
_cell_length_c 7.9963
_cell_angle_alpha 107.46
_cell_angle_beta 107.46
_cell_angle_gamma 36.79
_symmetry_space_group_name_H-M 'P 1'
_symmetry_Int_Tables_number 1
loop_
_symmetry_equiv_pos_as_xyz
'x,y,z'
loop_
_atom_site_label
_atom_site_fract_x
_atom_site_fract_y
_atom_site_fract_z
Pm1 0.0542 0.0542 0.3309
Pm2 0.2773 0.2773 0.6680
Pm3 0.7227 0.7227 0.3320
Pm4 0.9458 0.9458 0.6691
Ho1 0.3886 0.3886 0.3307
Ho2 0.5000 0.5000 0.0000
Ho3 0.6114 0.6114 0.6693
Er1 0.1671 0.1671 0.9998
Er2 0.8329 0.8329 0.0002
```

Total energy   -41.678 eV for the cell shown
Space group   C2/m (12)
ΔE_f   20 meV/atom
Energy relative to the lowest polymorph listed for this composition   0.003 eV/atom
Crystal system   monoclinic

5.
Here is an optimized crystal structure of Pm4Ho3Er from Alexandria via LeMat-Bulk. Energies are from PBE.

```
data_Pm4Ho3Er
_cell_length_a 25.8981
_cell_length_b 5.6607
_cell_length_c 3.6342
_cell_angle_alpha 90.00
_cell_angle_beta 90.05
_cell_angle_gamma 90.00
_symmetry_space_group_name_H-M 'P 1'
_symmetry_Int_Tables_number 1
loop_
_symmetry_equiv_pos_as_xyz
'x,y,z'
loop_
_atom_site_label
_atom_site_fract_x
_atom_site_fract_y
_atom_site_fract_z
Pm1 0.1023 0.0000 0.0005
Pm2 0.2227 0.0000 0.9987
Pm3 0.2773 0.5000 0.0013
Pm4 0.3977 0.5000 0.9995
Pm5 0.6023 0.5000 0.0005
Pm6 0.7227 0.5000 0.9987
Pm7 0.7773 0.0000 0.0013
Pm8 0.8977 0.0000 0.9995
Ho1 0.0000 0.5000 0.0000
Ho2 0.1504 0.5000 0.4997
Ho3 0.3496 0.0000 0.5003
Ho4 0.5000 0.0000 0.0000
Ho5 0.6504 0.0000 0.4997
Ho6 0.8496 0.5000 0.5003
Er1 0.0000 0.0000 0.5000
Er2 0.5000 0.5000 0.5000
```

Total energy   -71.597 eV for the cell shown
Space group   C2/m (12)
ΔE_f   187 meV/atom
Crystal system   monoclinic

6.
Here is an optimized crystal structure of Pm4HoEr6 from Alexandria via LeMat-Bulk. Energies are from PBE.

```
data_Pm4HoEr6
_cell_length_a 8.4772
_cell_length_b 8.4772
_cell_length_c 8.4772
_cell_angle_alpha 126.38
_cell_angle_beta 126.38
_cell_angle_gamma 79.27
_symmetry_space_group_name_H-M 'P 1'
_symmetry_Int_Tables_number 1
loop_
_symmetry_equiv_pos_as_xyz
'x,y,z'
loop_
_atom_site_label
_atom_site_fract_x
_atom_site_fract_y
_atom_site_fract_z
Pm1 0.2487 0.2487 0.6504
Pm2 0.4017 0.7513 0.0000
Pm3 0.5983 0.5983 0.3496
Pm4 0.7513 0.4017 0.0000
Ho1 0.0000 0.0000 0.0000
Er1 0.0000 0.5000 0.5000
Er2 0.0599 0.5748 0.0000
Er3 0.4252 0.4252 0.4852
Er4 0.5000 0.0000 0.5000
Er5 0.5748 0.0599 0.0000
Er6 0.9401 0.9401 0.5148
```

Total energy   -45.899 eV for the cell shown
Space group   I-42m (121)
ΔE_f   460 meV/atom
Energy relative to the lowest polymorph listed for this composition   0.161 eV/atom
Crystal system   tetragonal

7.
Here is an optimized crystal structure of PmHo3Er7 from Alexandria via LeMat-Bulk. Energies are from PBE.

```
data_PmHo3Er7
_cell_length_a 8.3503
_cell_length_b 8.3503
_cell_length_c 5.7363
_cell_angle_alpha 110.02
_cell_angle_beta 110.02
_cell_angle_gamma 83.39
_symmetry_space_group_name_H-M 'P 1'
_symmetry_Int_Tables_number 1
loop_
_symmetry_equiv_pos_as_xyz
'x,y,z'
loop_
_atom_site_label
_atom_site_fract_x
_atom_site_fract_y
_atom_site_fract_z
Pm1 0.0000 0.0000 0.0000
Ho1 0.2936 0.7064 0.5000
Ho2 0.5000 0.5000 0.0000
Ho3 0.7064 0.2936 0.5000
Er1 0.0000 0.0000 0.5000
Er2 0.0985 0.4879 0.7934
Er3 0.2937 0.2937 0.2947
Er4 0.4879 0.0985 0.7934
Er5 0.5121 0.9015 0.2066
Er6 0.7063 0.7063 0.7053
Er7 0.9015 0.5121 0.2066
```

Total energy   -47.474 eV for the cell shown
Space group   C2/m (12)
ΔE_f   268 meV/atom
Energy relative to the lowest polymorph listed for this composition   0.114 eV/atom
Crystal system   monoclinic

8.
Here is an optimized crystal structure of Pm10HoEr4 from Alexandria via LeMat-Bulk. Energies are from PBE.

```
data_Pm10HoEr4
_cell_length_a 9.5021
_cell_length_b 9.5021
_cell_length_c 9.5021
_cell_angle_alpha 99.57
_cell_angle_beta 99.57
_cell_angle_gamma 131.88
_symmetry_space_group_name_H-M 'P 1'
_symmetry_Int_Tables_number 1
loop_
_symmetry_equiv_pos_as_xyz
'x,y,z'
loop_
_atom_site_label
_atom_site_fract_x
_atom_site_fract_y
_atom_site_fract_z
Pm1 0.0497 0.1502 0.6999
Pm2 0.1502 0.4504 0.1006
Pm3 0.2500 0.7500 0.5000
Pm4 0.3498 0.0497 0.8994
Pm5 0.4504 0.3498 0.3001
Pm6 0.5496 0.6502 0.6999
Pm7 0.6502 0.9503 0.1006
Pm8 0.7500 0.2500 0.5000
Pm9 0.8498 0.5496 0.8994
Pm10 0.9503 0.8498 0.3001
Ho1 0.0000 0.0000 0.0000
Er1 0.2003 0.6002 0.8005
Er2 0.3998 0.2003 0.6001
Er3 0.6002 0.7997 0.3999
Er4 0.7997 0.3998 0.1995
```

Total energy   -59.895 eV for the cell shown
Space group   I4/m (87)
ΔE_f   696 meV/atom
Crystal system   tetragonal

9.
Here is an optimized crystal structure of Pm12HoEr6 from Alexandria via LeMat-Bulk. Energies are from PBE.

```
data_Pm12HoEr6
_cell_length_a 9.2003
_cell_length_b 9.2003
_cell_length_c 9.2003
_cell_angle_alpha 106.57
_cell_angle_beta 106.57
_cell_angle_gamma 106.57
_symmetry_space_group_name_H-M 'P 1'
_symmetry_Int_Tables_number 1
loop_
_symmetry_equiv_pos_as_xyz
'x,y,z'
loop_
_atom_site_label
_atom_site_fract_x
_atom_site_fract_y
_atom_site_fract_z
Pm1 0.1337 0.2778 0.8272
Pm2 0.1728 0.8663 0.7222
Pm3 0.1920 0.4839 0.5816
Pm4 0.2778 0.8272 0.1337
Pm5 0.4184 0.8080 0.5161
Pm6 0.4839 0.5816 0.1920
Pm7 0.5161 0.4184 0.8080
Pm8 0.5816 0.1920 0.4839
Pm9 0.7222 0.1728 0.8663
Pm10 0.8080 0.5161 0.4184
Pm11 0.8272 0.1337 0.2778
Pm12 0.8663 0.7222 0.1728
Ho1 0.0000 0.0000 0.0000
Er1 0.0772 0.4551 0.1898
Er2 0.1898 0.0772 0.4551
Er3 0.4551 0.1898 0.0772
Er4 0.5449 0.8102 0.9228
Er5 0.8102 0.9228 0.5449
Er6 0.9228 0.5449 0.8102
```

Total energy   -84.362 eV for the cell shown
Space group   R-3 (148)
ΔE_f   242 meV/atom
Energy relative to the lowest polymorph listed for this composition   0.105 eV/atom
Crystal system   trigonal

10.
Here is an optimized crystal structure of PmHo6Er6 from Alexandria via LeMat-Bulk. Energies are from PBE.

```
data_PmHo6Er6
_cell_length_a 6.5676
_cell_length_b 6.5676
_cell_length_c 11.3943
_cell_angle_alpha 90.00
_cell_angle_beta 90.00
_cell_angle_gamma 120.00
_symmetry_space_group_name_H-M 'P 1'
_symmetry_Int_Tables_number 1
loop_
_symmetry_equiv_pos_as_xyz
'x,y,z'
loop_
_atom_site_label
_atom_site_fract_x
_atom_site_fract_y
_atom_site_fract_z
Pm1 0.0000 0.0000 0.0000
Ho1 0.0000 0.5000 0.2440
Ho2 0.0000 0.5000 0.7560
Ho3 0.5000 0.0000 0.2440
Ho4 0.5000 0.0000 0.7560
Ho5 0.5000 0.5000 0.2440
Ho6 0.5000 0.5000 0.7560
Er1 0.0000 0.0000 0.3507
Er2 0.0000 0.0000 0.6493
Er3 0.3333 0.6667 0.0000
Er4 0.3333 0.6667 0.5000
Er5 0.6667 0.3333 0.0000
Er6 0.6667 0.3333 0.5000
```

Total energy   -55.879 eV for the cell shown
Space group   P6/mmm (191)
ΔE_f   286 meV/atom
Crystal system   hexagonal